No. 1
## Te4Br5Cl2 (GGA-PBE)

Data for a relaxed Te4Br5Cl2 crystal.

Output
Final energy: -0.185 Ry/atom
Energy relative to the elements, uncorrected: -0.28 eV/atom

Lattice parameters (Å, degrees): 7.5198 7.6435 9.4476 92.19 107.84 107.36
Fractional positions:
Te: 0.0440 0.4646 0.3770
Te: 0.2176 0.3689 0.8317
Te: 0.7824 0.6311 0.1683
Te: 0.9560 0.5354 0.6230
Br: 0.0000 0.5000 0.0000
Br: 0.0462 0.9587 0.2373
Br: 0.4977 0.2664 0.0890
Br: 0.5023 0.7336 0.9110
Br: 0.9538 0.0413 0.7627
Cl: 0.3720 0.2981 0.6572
Cl: 0.6280 0.7019 0.3428

No. 2
## ScAl2Fe9 (GGA-PBE)

Data for a relaxed ScAl2Fe9 crystal.

Output
Final energy: -0.559 Ry/atom

Lattice parameters (Å, degrees): 8.2068 8.2068 8.2068 34.05 34.05 34.05
Fractional positions:
Sc: 0.0000 0.0000 0.0000
Al: 0.1425 0.1425 0.1425
Al: 0.8575 0.8575 0.8575
Fe: 0.0798 0.5901 0.5901
Fe: 0.3345 0.3345 0.3345
Fe: 0.4099 0.4099 0.9202
Fe: 0.4099 0.9202 0.4099
Fe: 0.5000 0.5000 0.5000
Fe: 0.5901 0.0798 0.5901
Fe: 0.5901 0.5901 0.0798
Fe: 0.6655 0.6655 0.6655
Fe: 0.9202 0.4099 0.4099